No. 1
## Sr2VH (PBE-GGA)

Data for a relaxed Sr2VH crystal.

a = 5.5027 Å, b = 5.5027 Å, c = 5.5027 Å
α = 60.00°, β = 60.00°, γ = 60.00°
Last column: nearest neighbours and their distance in Å.
Atoms (fractional coordinates):
1 H 0.0000 0.0000 0.0000  8 Sr 3.37
2 V 0.5000 0.5000 0.5000  8 Sr 3.37
3 Sr 0.2500 0.2500 0.2500  4 V 3.37, 4 H 3.37
4 Sr 0.7500 0.7500 0.7500  4 V 3.37, 4 H 3.37

Properties
Calculated volume = 117.8 Å³/cell
Energy = -12.67 eV per cell
Mass density = 3.202 g/cm3

No. 2
## Sr2VH4 (PBE-GGA)

Data for a relaxed Sr2VH4 crystal.

a = 3.7179 Å, b = 3.7179 Å, c = 8.4517 Å
α = 77.29°, β = 77.29°, γ = 90.00°
Last column: nearest neighbours and their distance in Å.
Atoms (fractional coordinates):
1 Sr 0.6302 0.6302 0.7396  8 H 2.64-2.80
2 H 0.1136 0.1136 0.7727  1 V 1.83
3 H 0.8864 0.8864 0.2273  1 V 1.83
4 Sr 0.3698 0.3698 0.2604  8 H 2.64-2.80
5 V 0.0000 0.0000 0.0000  6 H 1.83-1.86
6 H 0.5000 0.0000 0.0000  2 V 1.86
7 H 0.0000 0.5000 0.0000  2 V 1.86

Properties
Calculated volume = 111.0 Å³/cell
Energy = -27.75 eV per cell
Mass density = 3.443 g/cm3

No. 3
## SrV3H (PBE-GGA)

Data for a relaxed SrV3H crystal.

a = 4.5735 Å, b = 4.5735 Å, c = 4.5735 Å
α = 90.00°, β = 90.00°, γ = 90.00°
Last column: nearest neighbours and their distance in Å.
Atoms (fractional coordinates):
1 H 0.5000 0.5000 0.5000  12 V 3.23
2 V 0.0000 0.5000 0.0000  2 Sr 2.29
3 V 0.5000 0.0000 0.0000  2 Sr 2.29
4 Sr 0.0000 0.0000 0.0000  6 V 2.29
5 V 0.0000 0.0000 0.5000  2 Sr 2.29

Properties
Calculated volume = 95.7 Å³/cell
Energy = -16.55 eV per cell
Mass density = 4.191 g/cm3

No. 4
## SrV2H (PBE-GGA)

Data for a relaxed SrV2H crystal.

a = 5.0013 Å, b = 5.0013 Å, c = 5.0013 Å
α = 60.00°, β = 60.00°, γ = 60.00°
Last column: nearest neighbours and their distance in Å.
Atoms (fractional coordinates):
1 V 0.2500 0.2500 0.2500  4 H 3.06, 4 Sr 3.06
2 V 0.7500 0.7500 0.7500  4 Sr 3.06, 4 H 3.06
3 H 0.0000 0.0000 0.0000  8 V 3.06
4 Sr 0.5000 0.5000 0.5000  8 V 3.06

Properties
Calculated volume = 88.5 Å³/cell
Energy = -16.47 eV per cell
Mass density = 3.576 g/cm3

No. 5
## Sr3VH (PBE-GGA)

Data for a relaxed Sr3VH crystal.

a = 5.3750 Å, b = 5.3750 Å, c = 5.3750 Å
α = 90.00°, β = 90.00°, γ = 90.00°
Last column: nearest neighbours and their distance in Å.
Atoms (fractional coordinates):
1 Sr 0.5000 0.0000 0.0000  2 H 2.69
2 Sr 0.0000 0.5000 0.0000  2 H 2.69
3 Sr 0.0000 0.0000 0.5000  2 H 2.69
4 V 0.5000 0.5000 0.5000  12 Sr 3.80
5 H 0.0000 0.0000 0.0000  6 Sr 2.69

Properties
Calculated volume = 155.3 Å³/cell
Energy = -16.04 eV per cell
Mass density = 3.366 g/cm3

No. 6
## SrV2H (PBE-GGA)

Data for a relaxed SrV2H crystal.

a = 5.7826 Å, b = 5.7826 Å, c = 5.7835 Å
α = 60.00°, β = 60.00°, γ = 90.00°
Last column: nearest neighbours and their distance in Å.
Atoms (fractional coordinates):
1 V 0.3750 0.1250 0.2500  2 H 1.77
2 Sr 0.7500 0.2500 0.5000  12 V 3.39, 4 H 3.54, 4 Sr 3.54
3 Sr 0.0000 0.0000 0.0000  12 V 3.39, 4 H 3.54, 4 Sr 3.54
4 V 0.8750 0.6250 0.7500  2 H 1.77
5 V 0.3750 0.6250 0.7500  2 H 1.77
6 H 0.2500 0.7500 0.5000  4 V 1.77
7 V 0.3750 0.6250 0.2500  2 H 1.77
8 H 0.5000 0.5000 0.0000  4 V 1.77

Properties
Calculated volume = 136.8 Å³/cell
Energy = -42.38 eV per cell
Mass density = 4.626 g/cm3

No. 7
## SrH3W (PBE-GGA)

Data for a relaxed SrH3W crystal.

a = 3.8361 Å, b = 3.8361 Å, c = 3.8361 Å
α = 90.00°, β = 90.00°, γ = 90.00°
Last column: nearest neighbours and their distance in Å.
Atoms (fractional coordinates):
1 H 0.0000 0.5000 0.0000  2 W 1.92
2 H 0.5000 0.0000 0.0000  2 W 1.92
3 Sr 0.5000 0.5000 0.5000  12 H 2.71
4 H 0.0000 0.0000 0.5000  2 W 1.92
5 W 0.0000 0.0000 0.0000  6 H 1.92

Properties
Calculated volume = 56.5 Å³/cell
Energy = -24.11 eV per cell
Mass density = 8.074 g/cm3

No. 8
## SrHW3 (PBE-GGA)

Data for a relaxed SrHW3 crystal.

a = 4.8174 Å, b = 4.8174 Å, c = 4.8174 Å
α = 90.00°, β = 90.00°, γ = 90.00°
Last column: nearest neighbours and their distance in Å.
Atoms (fractional coordinates):
1 Sr 0.0000 0.0000 0.0000  6 W 2.41
2 W 0.0000 0.0000 0.5000  2 Sr 2.41
3 H 0.5000 0.5000 0.5000  12 W 3.41
4 W 0.5000 0.0000 0.0000  2 Sr 2.41
5 W 0.0000 0.5000 0.0000  2 Sr 2.41

Properties
Calculated volume = 111.8 Å³/cell
Energy = -21.89 eV per cell
Mass density = 9.508 g/cm3

No. 9
## SrHW3 (PBE-GGA)

Data for a relaxed SrHW3 crystal.

a = 4.3134 Å, b = 4.3134 Å, c = 4.3134 Å
α = 90.00°, β = 90.00°, γ = 90.00°
Last column: nearest neighbours and their distance in Å.
Atoms (fractional coordinates):
1 W 0.0000 0.5000 0.0000  2 H 2.16
2 H 0.0000 0.0000 0.0000  6 W 2.16
3 Sr 0.5000 0.5000 0.5000  12 W 3.05
4 W 0.0000 0.0000 0.5000  2 H 2.16
5 W 0.5000 0.0000 0.0000  2 H 2.16

Properties
Calculated volume = 80.3 Å³/cell
Energy = -37.22 eV per cell
Mass density = 13.246 g/cm3

No. 10
## Sr3HW (PBE-GGA)

Data for a relaxed Sr3HW crystal.

a = 5.2300 Å, b = 5.2300 Å, c = 5.2300 Å
α = 90.00°, β = 90.00°, γ = 90.00°
Last column: nearest neighbours and their distance in Å.
Atoms (fractional coordinates):
1 Sr 0.0000 0.5000 0.0000  2 H 2.61
2 H 0.0000 0.0000 0.0000  6 Sr 2.61
3 Sr 0.0000 0.0000 0.5000  2 H 2.61
4 Sr 0.5000 0.0000 0.0000  2 H 2.61
5 W 0.5000 0.5000 0.5000  12 Sr 3.70

Properties
Calculated volume = 143.1 Å³/cell
Energy = -17.82 eV per cell
Mass density = 5.197 g/cm3

No. 11
## SrH3W (PBE-GGA)

Data for a relaxed SrH3W crystal.

a = 4.0283 Å, b = 4.0283 Å, c = 4.0283 Å
α = 90.00°, β = 90.00°, γ = 90.00°
Last column: nearest neighbours and their distance in Å.
Atoms (fractional coordinates):
1 H 0.0000 0.5000 0.0000  2 Sr 2.01
2 H 0.0000 0.0000 0.5000  2 Sr 2.01
3 W 0.5000 0.5000 0.5000  12 H 2.85
4 H 0.5000 0.0000 0.0000  2 Sr 2.01
5 Sr 0.0000 0.0000 0.0000  6 H 2.01

Properties
Calculated volume = 65.4 Å³/cell
Energy = -17.15 eV per cell
Mass density = 6.973 g/cm3

No. 12
## Sr3HW (PBE-GGA)

Data for a relaxed Sr3HW crystal.

a = 5.8298 Å, b = 5.8298 Å, c = 5.8298 Å
α = 90.00°, β = 90.00°, γ = 90.00°
Last column: nearest neighbours and their distance in Å.
Atoms (fractional coordinates):
1 Sr 0.5000 0.0000 0.0000  2 W 2.91
2 W 0.0000 0.0000 0.0000  6 Sr 2.91
3 H 0.5000 0.5000 0.5000  12 Sr 4.12
4 Sr 0.0000 0.5000 0.0000  2 W 2.91
5 Sr 0.0000 0.0000 0.5000  2 W 2.91

Properties
Calculated volume = 198.1 Å³/cell
Energy = -15.04 eV per cell
Mass density = 3.752 g/cm3

No. 13
## SrZn2HW (PBE-GGA)

Data for a relaxed SrZn2HW crystal.

a = 5.1665 Å, b = 3.6117 Å, c = 5.1665 Å
α = 90.00°, β = 90.00°, γ = 90.00°
Last column: nearest neighbours and their distance in Å.
Atoms (fractional coordinates):
1 W 0.0000 0.0000 0.0000  2 H 1.81
2 Sr 0.5000 0.5000 0.5000  8 Zn 3.15
3 H 0.0000 0.5000 0.0000  2 W 1.81
4 Zn 0.5000 0.0000 0.0000  2 W 2.58
5 Zn 0.0000 0.0000 0.5000  2 W 2.58

Properties
Calculated volume = 96.4 Å³/cell
Energy = -18.40 eV per cell
Mass density = 6.946 g/cm3

No. 14
## Sr2YH (PBE-GGA)

Data for a relaxed Sr2YH crystal.

a = 7.5805 Å, b = 7.5805 Å, c = 7.1789 Å
α = 58.13°, β = 58.13°, γ = 90.00°
Last column: nearest neighbours and their distance in Å.
Atoms (fractional coordinates):
1 Sr 0.4695 0.1250 0.2500  2 H 2.35
2 H 0.5000 0.5000 0.0000  4 Sr 2.35
3 Y 0.0000 0.0000 0.0000  8 Sr 3.80-4.11
4 Sr 0.8750 0.7195 0.7500  2 H 2.35
5 Sr 0.3750 0.5305 0.7500  2 H 2.35
6 Sr 0.2805 0.6250 0.2500  2 H 2.35
7 H 0.2500 0.7500 0.5000  4 Sr 2.35
8 Y 0.7500 0.2500 0.5000  8 Sr 3.80-4.11

Properties
Calculated volume = 274.4 Å³/cell
Energy = -25.70 eV per cell
Mass density = 3.209 g/cm3

No. 15
## Sr2YH (PBE-GGA)

Data for a relaxed Sr2YH crystal.

a = 5.9915 Å, b = 5.9915 Å, c = 5.9915 Å
α = 60.00°, β = 60.00°, γ = 60.00°
Last column: nearest neighbours and their distance in Å.
Atoms (fractional coordinates):
1 Sr 0.2500 0.2500 0.2500  4 Y 3.67, 4 H 3.67
2 Y 0.5000 0.5000 0.5000  8 Sr 3.67
3 H 0.0000 0.0000 0.0000  8 Sr 3.67
4 Sr 0.7500 0.7500 0.7500  4 Y 3.67, 4 H 3.67

Properties
Calculated volume = 152.1 Å³/cell
Energy = -10.17 eV per cell
Mass density = 2.895 g/cm3

No. 16
## Sr2YH (PBE-GGA)

Data for a relaxed Sr2YH crystal.

a = 3.7766 Å, b = 3.7766 Å, c = 10.5669 Å
α = 79.71°, β = 79.71°, γ = 60.00°
Last column: nearest neighbours and their distance in Å.
Atoms (fractional coordinates):
1 H 0.5000 0.5000 0.5000  6 Sr 2.71
2 Sr 0.8853 0.8853 0.3442  3 H 2.71
3 Y 0.0000 0.0000 0.0000  2 Sr 3.56, 6 Y 3.78
4 Sr 0.1147 0.1147 0.6558  3 H 2.71

Properties
Calculated volume = 127.7 Å³/cell
Energy = -12.54 eV per cell
Mass density = 3.448 g/cm3

No. 17
## Sr2YH4 (PBE-GGA)

Data for a relaxed Sr2YH4 crystal.

a = 4.3249 Å, b = 4.3249 Å, c = 7.3472 Å
α = 72.88°, β = 72.88°, γ = 90.00°
Last column: nearest neighbours and their distance in Å.
Atoms (fractional coordinates):
1 Y 0.0000 0.0000 0.0000  6 H 2.16-2.23
2 Sr 0.3524 0.3524 0.2953  1 H 2.48
3 Sr 0.6476 0.6476 0.7047  1 H 2.48
4 H 0.5000 0.0000 0.0000  2 Y 2.16
5 H 0.0000 0.5000 0.0000  2 Y 2.16
6 H 0.8333 0.8333 0.3335  1 Y 2.23, 1 Sr 2.48
7 H 0.1667 0.1667 0.6665  1 Y 2.23, 1 Sr 2.48

Properties
Calculated volume = 125.0 Å³/cell
Energy = -25.45 eV per cell
Mass density = 3.564 g/cm3

No. 18
## Sr2YZnH (PBE-GGA)

Data for a relaxed Sr2YZnH crystal.

a = 5.5691 Å, b = 5.5691 Å, c = 4.4767 Å
α = 90.00°, β = 90.00°, γ = 90.00°
Last column: nearest neighbours and their distance in Å.
Atoms (fractional coordinates):
1 Y 0.0000 0.0000 0.5000  2 H 2.24
2 Sr 0.5000 0.0000 0.0000  2 H 2.78
3 Sr 0.0000 0.5000 0.0000  2 H 2.78
4 H 0.0000 0.0000 0.0000  2 Y 2.24
5 Zn 0.5000 0.5000 0.5000  8 Sr 3.57, 4 Y 3.94

Properties
Calculated volume = 138.8 Å³/cell
Energy = -14.51 eV per cell
Mass density = 3.953 g/cm3

No. 19
## SrZnH3 (PBE-GGA)

Data for a relaxed SrZnH3 crystal.

a = 4.4968 Å, b = 4.4968 Å, c = 4.4968 Å
α = 90.00°, β = 90.00°, γ = 90.00°
Last column: nearest neighbours and their distance in Å.
Atoms (fractional coordinates):
1 Zn 0.5000 0.5000 0.5000  12 H 3.18
2 Sr 0.0000 0.0000 0.0000  6 H 2.25
3 H 0.0000 0.0000 0.5000  2 Sr 2.25
4 H 0.0000 0.5000 0.0000  2 Sr 2.25
5 H 0.5000 0.0000 0.0000  2 Sr 2.25

Properties
Calculated volume = 90.9 Å³/cell
Energy = -11.39 eV per cell
Mass density = 2.850 g/cm3

No. 20
## Sr12Zn3H5 (PBE-GGA)

Data for a relaxed Sr12Zn3H5 crystal.

a = 14.8898 Å, b = 14.8898 Å, c = 14.8898 Å
α = 109.47°, β = 109.47°, γ = 109.47°
Last column: nearest neighbours and their distance in Å.
Atoms (fractional coordinates):
1 Sr 0.0208 0.4013 0.8106  1 H 2.45
2 Zn 0.7500 0.3750 0.1250  8 Sr 3.34-3.43
3 Sr 0.6195 0.5987 0.9093  1 H 2.45
4 Sr 0.4792 0.7898 0.8805  1 H 2.45
5 Sr 0.6894 0.4792 0.5987  1 H 2.45
6 H 0.2500 0.3750 0.6250  4 Sr 2.45
7 Sr 0.0907 0.1894 0.2102  1 H 2.45
8 H 0.5000 0.0000 0.0000  6 Sr 2.89
9 Sr 0.5987 0.6195 0.4093  1 H 2.45
10 Sr 0.6195 0.0208 0.2102  1 H 2.45
11 Sr 0.5208 0.3106 0.9013  1 H 2.45
12 Sr 0.6894 0.2102 0.5907  1 H 2.45
13 Sr 0.7898 0.4792 0.3805  1 H 2.45
14 Sr 0.0208 0.6195 0.7102  1 H 2.45
15 H 0.7500 0.1250 0.8750  4 Sr 2.45
16 Sr 0.5987 0.9792 0.6894  1 H 2.45
17 Sr 0.5907 0.7102 0.6894  1 H 2.45
18 Sr 0.0987 0.9093 0.1195  1 H 2.45
19 H 0.1250 0.7500 0.3750  4 Sr 2.45
20 H 0.5000 0.0000 0.5000  6 Sr 2.89
21 Sr 0.1894 0.0987 0.9792  1 H 2.45
22 Zn 0.1250 0.8750 0.7500  8 Sr 3.34-3.43
23 Sr 0.7102 0.1195 0.0208  1 H 2.45
24 H 0.0000 0.0000 0.5000  6 Sr 2.89
25 H 0.8750 0.6250 0.7500  4 Sr 2.45
26 H 0.8750 0.2500 0.6250  4 Sr 2.45
27 Sr 0.9792 0.3805 0.2898  1 H 2.45
28 Sr 0.1195 0.7102 0.5208  1 H 2.45
29 Sr 0.8106 0.9013 0.0208  1 H 2.45
30 H 0.0000 0.5000 0.0000  6 Sr 2.89
31 Sr 0.4792 0.6894 0.0987  1 H 2.45
32 Sr 0.9093 0.0987 0.6195  1 H 2.45
33 Sr 0.3805 0.9792 0.7898  1 H 2.45
34 Sr 0.9093 0.8106 0.7898  1 H 2.45
35 H 0.0000 0.0000 0.0000  6 Sr 2.89
36 H 0.1250 0.3750 0.2500  4 Sr 2.45
37 Sr 0.0987 0.1894 0.4792  1 H 2.45
38 Sr 0.2102 0.6894 0.0907  1 H 2.45
39 H 0.3750 0.1250 0.7500  4 Sr 2.45
40 Sr 0.2102 0.5208 0.6195  1 H 2.45
41 Sr 0.9013 0.8106 0.5208  1 H 2.45
42 Sr 0.7102 0.5907 0.1894  1 H 2.45
43 Sr 0.3106 0.7898 0.4093  1 H 2.45
44 Sr 0.0907 0.9013 0.3805  1 H 2.45
45 Zn 0.7500 0.8750 0.6250  8 Sr 3.34-3.43
46 Zn 0.8750 0.7500 0.1250  8 Sr 3.34-3.43
47 Zn 0.2500 0.6250 0.8750  8 Sr 3.34-3.43
48 Sr 0.4013 0.0208 0.3106  1 H 2.45
49 Sr 0.3106 0.5208 0.4013  1 H 2.45
50 H 0.6250 0.7500 0.8750  4 Sr 2.45
51 Sr 0.8805 0.2898 0.4792  1 H 2.45
52 H 0.0000 0.5000 0.5000  6 Sr 2.89
53 Sr 0.2898 0.8805 0.9792  1 H 2.45
54 Zn 0.8750 0.1250 0.2500  8 Sr 3.34-3.43
55 H 0.6250 0.8750 0.2500  4 Sr 2.45
56 Zn 0.1250 0.2500 0.8750  8 Sr 3.34-3.43
57 Zn 0.6250 0.2500 0.3750  8 Sr 3.34-3.43
58 Sr 0.4093 0.1195 0.5987  1 H 2.45
59 Sr 0.9792 0.5987 0.1894  1 H 2.45
60 Sr 0.4093 0.2898 0.3106  1 H 2.45
61 Zn 0.6250 0.3750 0.7500  8 Sr 3.34-3.43
62 Sr 0.7898 0.3106 0.9093  1 H 2.45
63 Zn 0.3750 0.6250 0.2500  8 Sr 3.34-3.43
64 Zn 0.2500 0.1250 0.3750  8 Sr 3.34-3.43
65 Sr 0.8106 0.9093 0.2898  1 H 2.45
66 Sr 0.1195 0.4093 0.0987  1 H 2.45
67 H 0.5000 0.5000 0.0000  6 Sr 2.89
68 Zn 0.3750 0.7500 0.6250  8 Sr 3.34-3.43
69 H 0.5000 0.5000 0.5000  6 Sr 2.89
70 Sr 0.5208 0.2102 0.1195  1 H 2.45
71 Sr 0.4013 0.3805 0.5907  1 H 2.45
72 Sr 0.1894 0.0907 0.7102  1 H 2.45
73 Sr 0.3805 0.4013 0.0907  1 H 2.45
74 Sr 0.9013 0.0907 0.8805  1 H 2.45
75 H 0.3750 0.2500 0.1250  4 Sr 2.45
76 H 0.7500 0.6250 0.3750  4 Sr 2.45
77 Sr 0.5907 0.8805 0.4013  1 H 2.45
78 Sr 0.2898 0.4093 0.8106  1 H 2.45
79 H 0.2500 0.8750 0.1250  4 Sr 2.45
80 Sr 0.8805 0.5907 0.9013  1 H 2.45

Properties
Calculated volume = 2541.2 Å³/cell
Energy = -180.16 eV per cell
Mass density = 3.274 g/cm3